1 | Here is Ca2ZrCu after structural relaxation from Alexandria via LeMat-Bulk. Energies are from PBE-GGA.

## Properties
N(E_F) = 1.179 states/eV/atom

a = 3.329 Å, b = 3.334 Å, c = 9.817 Å
α = 70.13°, β = 90.00°, γ = 90.00°
Element x y z (fractional)
Ca1 0.000 0.962 0.038
Zr1 0.500 0.750 0.750
Cu1 0.500 0.250 0.250
Ca2 0.000 0.538 0.462

---

2 | Here is Ca2ZrCu after structural relaxation from Alexandria via LeMat-Bulk. Energies are from PBE-GGA.

## Properties
N(E_F) = 2.016 states/eV/atom

a = 5.318 Å, b = 5.318 Å, c = 5.318 Å
α = 60.00°, β = 60.00°, γ = 60.00°
Element x y z (fractional)
Ca1 0.250 0.250 0.250
Ca2 0.750 0.750 0.750
Zr1 0.500 0.500 0.500
Cu1 0.000 0.000 0.000

---

Most stable: 1 (next structure +0.352 eV/atom)

---

1 | Here is Ca2ZrCu after structural relaxation from Alexandria via LeMat-Bulk. Energies are from PBE-GGA.

## Properties
N(E_F) = 1.031 states/eV/atom

a = 8.520 Å, b = 8.520 Å, c = 6.733 Å
α = 50.75°, β = 50.75°, γ = 90.00°
Element x y z (fractional)
Zr1 0.750 0.250 0.500
Ca1 0.875 0.813 0.750
Ca2 0.187 0.625 0.250
Cu1 0.500 0.500 0.000
Ca3 0.563 0.125 0.250
Ca4 0.375 0.437 0.750
Cu2 0.250 0.750 0.500
Zr2 0.000 0.000 0.000

---

2 | Here is Ca2ZrCu after structural relaxation from Alexandria via LeMat-Bulk. Energies are from PBE-GGA.

## Properties
N(E_F) = 1.024 states/eV/atom

a = 3.879 Å, b = 5.015 Å, c = 5.135 Å
α = 90.00°, β = 90.00°, γ = 90.00°
Element x y z (fractional)
Zr1 0.000 0.500 0.500
Cu1 0.500 0.000 0.500
Ca1 0.500 0.500 0.000
Ca2 0.000 0.000 0.000

---

3 | Here is Ca2ZrCu after structural relaxation from Alexandria via LeMat-Bulk. Energies are from PBE-GGA.

## Properties
N(E_F) = 1.136 states/eV/atom

a = 6.527 Å, b = 6.527 Å, c = 5.163 Å
α = 66.72°, β = 66.72°, γ = 30.98°
Element x y z (fractional)
Zr1 0.750 0.750 0.750
Cu1 0.250 0.250 0.250
Ca1 0.553 0.553 0.447
Ca2 0.947 0.947 0.053

---

4 | Here is Ca2ZrCu after structural relaxation from Alexandria via LeMat-Bulk. Energies are from PBE-GGA.

## Properties
N(E_F) = 1.336 states/eV/atom

a = 5.930 Å, b = 5.930 Å, c = 5.930 Å
α = 134.41°, β = 134.41°, γ = 66.45°
Element x y z (fractional)
Ca1 0.250 0.750 0.500
Cu1 0.500 0.500 0.000
Zr1 0.750 0.250 0.500
Ca2 0.000 0.000 0.000

---

Most stable: 3 (next structure +0.106 eV/atom)

---

1 | Here is Ca3ZrCu after structural relaxation from Alexandria via LeMat-Bulk. Energies are from PBE-GGA.

## Properties
N(E_F) = 1.383 states/eV/atom

a = 5.677 Å, b = 5.677 Å, c = 5.677 Å
α = 90.00°, β = 90.00°, γ = 90.00°
Element x y z (fractional)
Ca1 0.000 0.500 0.000
Ca2 0.000 0.000 0.500
Zr1 0.000 0.000 0.000
Cu1 0.500 0.500 0.500
Ca3 0.500 0.000 0.000

---

2 | Here is Ca3ZrCu after structural relaxation from Alexandria via LeMat-Bulk. Energies are from PBE-GGA.

## Properties
N(E_F) = 0.951 states/eV/atom

a = 5.488 Å, b = 5.488 Å, c = 5.488 Å
α = 90.00°, β = 90.00°, γ = 90.00°
Element x y z (fractional)
Zr1 0.500 0.500 0.500
Ca1 0.000 0.500 0.000
Ca2 0.500 0.000 0.000
Ca3 0.000 0.000 0.500
Cu1 0.000 0.000 0.000

---

Most stable: 2 (next structure +0.718 eV/atom)

---

1 | Here is CaDy3 after structural relaxation from Alexandria via LeMat-Bulk. Energies are from PBE-GGA.

## Properties
N(E_F) = 1.391 states/eV/atom

a = 3.642 Å, b = 6.320 Å, c = 6.844 Å
α = 117.49°, β = 105.43°, γ = 90.00°
Element x y z (fractional)
Ca1 0.000 0.997 0.000
Dy1 0.759 0.095 0.519
Dy2 0.500 0.499 0.000
Dy3 0.241 0.576 0.481

---

2 | Here is CaDy3 after structural relaxation from Alexandria via LeMat-Bulk. Energies are from PBE-GGA.

## Properties
N(E_F) = 1.681 states/eV/atom

a = 6.230 Å, b = 6.230 Å, c = 6.230 Å
α = 131.68°, β = 131.68°, γ = 70.73°
Element x y z (fractional)
Dy1 0.250 0.750 0.500
Dy2 0.500 0.500 0.000
Ca1 0.000 0.000 0.000
Dy3 0.750 0.250 0.500

---

3 | Here is CaDy3 after structural relaxation from Alexandria via LeMat-Bulk. Energies are from PBE-GGA.

## Properties
N(E_F) = 1.763 states/eV/atom

a = 3.627 Å, b = 5.762 Å, c = 6.383 Å
α = 90.00°, β = 90.00°, γ = 90.00°
Element x y z (fractional)
Dy1 0.500 0.500 0.832
Dy2 0.000 0.000 0.993
Dy3 0.500 0.000 0.512
Ca1 0.000 0.500 0.330

---

Most stable: 1 (next structure +0.014 eV/atom)

---

1 | Here is CaDy3 after structural relaxation from Alexandria via LeMat-Bulk. Energies are from PBE-GGA.

## Properties
N(E_F) = 1.983 states/eV/atom

a = 5.734 Å, b = 5.734 Å, c = 5.734 Å
α = 60.00°, β = 60.00°, γ = 60.00°
Element x y z (fractional)
Ca1 0.500 0.500 0.500
Dy1 0.250 0.250 0.250
Dy2 0.000 0.000 0.000
Dy3 0.750 0.750 0.750

---

2 | Here is CaDy3 after structural relaxation from Alexandria via LeMat-Bulk. Energies are from PBE-GGA.

## Properties
N(E_F) = 1.712 states/eV/atom

a = 5.094 Å, b = 5.094 Å, c = 5.094 Å
α = 90.00°, β = 90.00°, γ = 90.00°
Element x y z (fractional)
Dy1 0.500 0.000 0.500
Ca1 0.000 0.000 0.000
Dy2 0.000 0.500 0.500
Dy3 0.500 0.500 0.000

---

Most stable: 2 (next structure +0.040 eV/atom)

---

1 | Here is CaDy2 after structural relaxation from Alexandria via LeMat-Bulk. Energies are from PBE-GGA.

## Properties
N(E_F) = 1.420 states/eV/atom

a = 3.629 Å, b = 3.629 Å, c = 8.190 Å
α = 102.80°, β = 102.80°, γ = 90.00°
Element x y z (fractional)
Dy1 0.324 0.324 0.647
Ca1 0.000 0.000 0.000
Dy2 0.676 0.676 0.353

---

2 | Here is CaDy2 after structural relaxation from Alexandria via LeMat-Bulk. Energies are from PBE-GGA.

## Properties
N(E_F) = 1.496 states/eV/atom

a = 6.728 Å, b = 6.728 Å, c = 6.728 Å
α = 60.00°, β = 60.00°, γ = 60.00°
Element x y z (fractional)
Dy1 0.125 0.625 0.625
Dy2 0.625 0.625 0.625
Ca1 0.250 0.250 0.250
Dy3 0.625 0.125 0.625
Ca2 0.000 0.000 0.000
Dy4 0.625 0.625 0.125

---

Most stable: 1 (next structure +0.113 eV/atom)

---

1 | Here is CaDyEr after structural relaxation from Alexandria via LeMat-Bulk. Energies are from PBE-GGA.

## Properties
N(E_F) = 1.849 states/eV/atom

a = 3.952 Å, b = 3.952 Å, c = 13.522 Å
α = 90.00°, β = 90.00°, γ = 90.00°
Element x y z (fractional)
Ca1 0.000 0.500 0.897
Er1 0.000 0.500 0.569
Dy1 0.000 0.500 0.288
Er2 0.500 0.000 0.431
Dy2 0.500 0.000 0.712
Ca2 0.500 0.000 0.103

---

2 | Here is CaDyEr after structural relaxation from Alexandria via LeMat-Bulk. Energies are from PBE-GGA.

## Properties
N(E_F) = 1.736 states/eV/atom

a = 3.593 Å, b = 3.593 Å, c = 9.070 Å
α = 90.00°, β = 90.00°, γ = 120.00°
Element x y z (fractional)
Er1 0.667 0.333 0.348
Ca1 0.000 0.000 0.001
Dy1 0.333 0.667 0.651

---

3 | Here is CaDyEr after structural relaxation from Alexandria via LeMat-Bulk. Energies are from PBE-GGA.

## Properties
N(E_F) = 1.506 states/eV/atom

a = 3.617 Å, b = 3.617 Å, c = 8.167 Å
α = 102.79°, β = 102.79°, γ = 90.00°
Element x y z (fractional)
Dy1 0.323 0.323 0.646
Er1 0.677 0.677 0.353
Ca1 0.000 0.000 0.001

---

4 | Here is CaDyEr after structural relaxation from Alexandria via LeMat-Bulk. Energies are from PBE-GGA.

## Properties
N(E_F) = 1.702 states/eV/atom

a = 4.802 Å, b = 4.802 Å, c = 9.024 Å
α = 90.00°, β = 90.00°, γ = 90.00°
Element x y z (fractional)
Ca1 0.500 0.500 0.000
Er1 0.000 0.500 0.683
Ca2 0.000 0.000 0.000
Er2 0.500 0.000 0.317
Dy1 0.000 0.500 0.315
Dy2 0.500 0.000 0.685

---

Most stable: 3 (next structure +0.009 eV/atom)

---

1 | Here is CaDyEr2 after structural relaxation from Alexandria via LeMat-Bulk. Energies are from PBE-GGA.

## Properties
N(E_F) = 2.164 states/eV/atom

a = 5.707 Å, b = 5.707 Å, c = 5.707 Å
α = 60.00°, β = 60.00°, γ = 60.00°
Element x y z (fractional)
Er1 0.250 0.250 0.250
Ca1 0.500 0.500 0.500
Dy1 0.000 0.000 0.000
Er2 0.750 0.750 0.750

---

2 | Here is CaDyEr2 after structural relaxation from Alexandria via LeMat-Bulk. Energies are from PBE-GGA.

## Properties
N(E_F) = 1.383 states/eV/atom

a = 3.566 Å, b = 3.566 Å, c = 12.128 Å
α = 81.55°, β = 81.55°, γ = 60.00°
Element x y z (fractional)
Er1 0.078 0.078 0.765
Ca1 0.501 0.501 0.498
Dy1 0.666 0.666 0.001
Er2 0.255 0.255 0.235

---

3 | Here is CaDyEr2 after structural relaxation from Alexandria via LeMat-Bulk. Energies are from PBE-GGA.

## Properties
N(E_F) = 1.730 states/eV/atom

a = 5.081 Å, b = 5.064 Å, c = 5.064 Å
α = 90.00°, β = 90.00°, γ = 90.00°
Element x y z (fractional)
Dy1 0.500 0.500 0.500
Er1 0.000 0.000 0.500
Ca1 0.500 0.000 0.000
Er2 0.000 0.500 0.000

---

Most stable: 2 (next structure +0.077 eV/atom)

---

1 | Here is CaDyEr2 after structural relaxation from Alexandria via LeMat-Bulk. Energies are from PBE-GGA.

## Properties
N(E_F) = 1.312 states/eV/atom

a = 3.524 Å, b = 3.524 Å, c = 12.603 Å
α = 81.96°, β = 81.96°, γ = 60.00°
Element x y z (fractional)
Ca1 0.000 0.000 0.000
Dy1 0.500 0.500 0.500
Er1 0.091 0.091 0.726
Er2 0.909 0.909 0.274

---

2 | Here is CaDyEr2 after structural relaxation from Alexandria via LeMat-Bulk. Energies are from PBE-GGA.

## Properties
N(E_F) = 1.420 states/eV/atom

a = 3.592 Å, b = 3.592 Å, c = 10.313 Å
α = 90.00°, β = 90.00°, γ = 90.00°
Element x y z (fractional)
Dy1 0.500 0.500 0.000
Er1 0.000 0.000 0.771
Er2 0.000 0.000 0.229
Ca1 0.500 0.500 0.500

---

Most stable: 2 (next structure +0.086 eV/atom)

---

1 | Here is Ca2EuDy after structural relaxation from Alexandria via LeMat-Bulk. Energies are from PBE-GGA.

## Properties
N(E_F) = 1.187 states/eV/atom

a = 5.998 Å, b = 5.998 Å, c = 5.998 Å
α = 60.00°, β = 60.00°, γ = 60.00°
Element x y z (fractional)
Dy1 0.500 0.500 0.500
Ca1 0.750 0.750 0.750
Eu1 0.000 0.000 0.000
Ca2 0.250 0.250 0.250

---

2 | Here is Ca2EuDy after structural relaxation from Alexandria via LeMat-Bulk. Energies are from PBE-GGA.

## Properties
N(E_F) = 1.470 states/eV/atom

a = 3.661 Å, b = 3.661 Å, c = 13.587 Å
α = 82.26°, β = 82.26°, γ = 60.00°
Element x y z (fractional)
Ca1 0.085 0.085 0.744
Eu1 0.500 0.500 0.500
Dy1 0.000 0.000 0.000
Ca2 0.915 0.915 0.256

---

Most stable: 1 (next structure +0.113 eV/atom)

---

1 | Here is CaEuDy2 after structural relaxation from Alexandria via LeMat-Bulk. Energies are from PBE-GGA.

## Properties
N(E_F) = 1.585 states/eV/atom

a = 3.663 Å, b = 3.663 Å, c = 12.350 Å
α = 81.47°, β = 81.47°, γ = 60.00°
Element x y z (fractional)
Dy1 0.251 0.251 0.248
Eu1 0.000 0.000 0.000
Ca1 0.500 0.500 0.500
Dy2 0.749 0.749 0.752

---

2 | Here is CaEuDy2 after structural relaxation from Alexandria via LeMat-Bulk. Energies are from PBE-GGA.

## Properties
N(E_F) = 1.433 states/eV/atom

a = 4.117 Å, b = 5.852 Å, c = 5.852 Å
α = 90.00°, β = 90.00°, γ = 90.00°
Element x y z (fractional)
Eu1 0.500 0.500 0.500
Ca1 0.500 0.000 0.000
Dy1 0.000 0.500 0.000
Dy2 0.000 0.000 0.500

---

Most stable: 1 (next structure +0.060 eV/atom)

---

1 | Here is CaEuDy2 after structural relaxation from Alexandria via LeMat-Bulk. Energies are from PBE-GGA.

## Properties
N(E_F) = 1.707 states/eV/atom

a = 3.658 Å, b = 3.658 Å, c = 10.539 Å
α = 90.00°, β = 90.00°, γ = 90.00°
Element x y z (fractional)
Dy1 0.000 0.000 0.244
Dy2 0.000 0.000 0.756
Eu1 0.500 0.500 0.000
Ca1 0.500 0.500 0.500

---

2 | Here is CaEuDy2 after structural relaxation from Alexandria via LeMat-Bulk. Energies are from PBE-GGA.

## Properties
N(E_F) = 1.252 states/eV/atom

a = 5.842 Å, b = 5.842 Å, c = 5.842 Å
α = 60.00°, β = 60.00°, γ = 60.00°
Element x y z (fractional)
Eu1 0.500 0.500 0.500
Dy1 0.750 0.750 0.750
Dy2 0.250 0.250 0.250
Ca1 0.000 0.000 0.000

---

Most stable: 1 (next structure +0.027 eV/atom)